No. 1
MgAlTc after structural relaxation. Source: Alexandria via LeMat-Bulk, functional PBEsol.

Calculated values
* Fermi-level density of states: 3.7 states/eV per cell
* energy of formation from the pure elements: 36 meV/atom
* total magnetic moment: 0.00 μB per atom

Geometry as CIF:
```
data_MgAlTc
_symmetry_space_group_name_H-M 'P 1'
_symmetry_Int_Tables_number 1
_cell_length_a 2.7212
_cell_length_b 4.0337
_cell_length_c 8.3980
_cell_angle_alpha 90.00
_cell_angle_beta 90.00
_cell_angle_gamma 90.00
loop_
_symmetry_equiv_pos_as_xyz
'x,y,z'
loop_
_atom_site_label
_atom_site_type_symbol
_atom_site_fract_x
_atom_site_fract_y
_atom_site_fract_z
Mg1 Mg 0.0000 0.0000 0.0000
Mg2 Mg 0.5000 0.5000 0.5000
Al1 Al 0.0000 0.0000 0.6799
Al2 Al 0.5000 0.5000 0.1799
Tc1 Tc 0.0000 0.0000 0.3267
Tc2 Tc 0.5000 0.5000 0.8267
```



No. 2
MgAlTe3 after structural relaxation. Source: Alexandria via LeMat-Bulk, functional PBEsol.

Calculated values
* Fermi-level density of states: 6.6 states/eV per cell
* ΔE_f (raw): 0.33 eV per atom
* total magnetic moment: 0.00 μB per atom

Geometry as CIF:
```
data_MgAlTe3
_symmetry_space_group_name_H-M 'P 1'
_symmetry_Int_Tables_number 1
_cell_length_a 5.4032
_cell_length_b 5.4032
_cell_length_c 5.4032
_cell_angle_alpha 90.00
_cell_angle_beta 90.00
_cell_angle_gamma 90.00
loop_
_symmetry_equiv_pos_as_xyz
'x,y,z'
loop_
_atom_site_label
_atom_site_type_symbol
_atom_site_fract_x
_atom_site_fract_y
_atom_site_fract_z
Mg1 Mg 0.0000 0.0000 0.0000
Al1 Al 0.5000 0.5000 0.5000
Te1 Te 0.0000 0.0000 0.5000
Te2 Te 0.0000 0.5000 0.0000
Te3 Te 0.5000 0.0000 0.0000
```



No. 3
MgAlTe4 after structural relaxation. Source: Alexandria via LeMat-Bulk, functional PBEsol.

Calculated values
* Fermi-level density of states: 5.0 states/eV per cell
* ΔE_f (raw): 0.37 eV per atom
* total magnetic moment: 0.00 μB per atom

Geometry as CIF:
```
data_MgAlTe4
_symmetry_space_group_name_H-M 'P 1'
_symmetry_Int_Tables_number 1
_cell_length_a 6.3268
_cell_length_b 6.3268
_cell_length_c 6.3268
_cell_angle_alpha 60.00
_cell_angle_beta 60.00
_cell_angle_gamma 60.00
loop_
_symmetry_equiv_pos_as_xyz
'x,y,z'
loop_
_atom_site_label
_atom_site_type_symbol
_atom_site_fract_x
_atom_site_fract_y
_atom_site_fract_z
Mg1 Mg 0.0000 0.0000 0.0000
Al1 Al 0.7500 0.7500 0.7500
Te1 Te 0.3747 0.3747 0.3747
Te2 Te 0.3747 0.3747 0.8758
Te3 Te 0.3747 0.8758 0.3747
Te4 Te 0.8758 0.3747 0.3747
```



No. 4
MgAlTl after structural relaxation. Source: Alexandria via LeMat-Bulk, functional PBEsol.

Calculated values
* Fermi-level density of states: 2.4 states/eV per cell
* energy of formation from the pure elements: 96 meV/atom
* total magnetic moment: 0.00 μB per atom

Geometry as CIF:
```
data_MgAlTl
_symmetry_space_group_name_H-M 'P 1'
_symmetry_Int_Tables_number 1
_cell_length_a 4.5093
_cell_length_b 4.6116
_cell_length_c 6.7041
_cell_angle_alpha 90.00
_cell_angle_beta 109.17
_cell_angle_gamma 90.00
loop_
_symmetry_equiv_pos_as_xyz
'x,y,z'
loop_
_atom_site_label
_atom_site_type_symbol
_atom_site_fract_x
_atom_site_fract_y
_atom_site_fract_z
Mg1 Mg 0.0000 0.0000 0.0000
Mg2 Mg 0.5000 0.5000 0.0000
Al1 Al 0.1486 0.5000 0.3014
Al2 Al 0.6486 0.0000 0.3014
Tl1 Tl 0.3193 0.0000 0.6401
Tl2 Tl 0.8193 0.5000 0.6401
```



No. 5
MgAl3Tl after structural relaxation. Source: Alexandria via LeMat-Bulk, functional PBEsol.

Calculated values
* Fermi-level density of states: 2.9 states/eV per cell
* energy of formation from the pure elements: 785 meV/atom
* total magnetic moment: 0.00 μB per atom

Geometry as CIF:
```
data_MgAl3Tl
_symmetry_space_group_name_H-M 'P 1'
_symmetry_Int_Tables_number 1
_cell_length_a 5.1101
_cell_length_b 5.1101
_cell_length_c 5.1101
_cell_angle_alpha 90.00
_cell_angle_beta 90.00
_cell_angle_gamma 90.00
loop_
_symmetry_equiv_pos_as_xyz
'x,y,z'
loop_
_atom_site_label
_atom_site_type_symbol
_atom_site_fract_x
_atom_site_fract_y
_atom_site_fract_z
Mg1 Mg 0.0000 0.0000 0.0000
Al1 Al 0.0000 0.0000 0.5000
Al2 Al 0.0000 0.5000 0.0000
Al3 Al 0.5000 0.0000 0.0000
Tl1 Tl 0.5000 0.5000 0.5000
```



No. 6
MgAlTl after structural relaxation. Source: Alexandria via LeMat-Bulk, functional PBEsol.

Calculated values
* Fermi-level density of states: 0.9 states/eV per cell
* energy of formation from the pure elements: 104 meV/atom
* total magnetic moment: 0.00 μB per atom

Geometry as CIF:
```
data_MgAlTl
_symmetry_space_group_name_H-M 'P 1'
_symmetry_Int_Tables_number 1
_cell_length_a 4.9493
_cell_length_b 4.9493
_cell_length_c 3.0944
_cell_angle_alpha 90.00
_cell_angle_beta 90.00
_cell_angle_gamma 120.00
loop_
_symmetry_equiv_pos_as_xyz
'x,y,z'
loop_
_atom_site_label
_atom_site_type_symbol
_atom_site_fract_x
_atom_site_fract_y
_atom_site_fract_z
Mg1 Mg 0.0000 0.0000 0.0000
Al1 Al 0.6667 0.3333 0.5022
Tl1 Tl 0.3333 0.6667 0.5022
```



No. 7
Mg2Al2Tl after structural relaxation. Source: Alexandria via LeMat-Bulk, functional PBEsol.

Calculated values
* Fermi-level density of states: 4.2 states/eV per cell
* energy of formation from the pure elements: 72 meV/atom
* total magnetic moment: 0.00 μB per atom

Geometry as CIF:
```
data_Mg2Al2Tl
_symmetry_space_group_name_H-M 'P 1'
_symmetry_Int_Tables_number 1
_cell_length_a 8.2402
_cell_length_b 8.2402
_cell_length_c 3.1380
_cell_angle_alpha 90.00
_cell_angle_beta 90.00
_cell_angle_gamma 90.00
loop_
_symmetry_equiv_pos_as_xyz
'x,y,z'
loop_
_atom_site_label
_atom_site_type_symbol
_atom_site_fract_x
_atom_site_fract_y
_atom_site_fract_z
Mg1 Mg 0.1818 0.3182 0.0000
Mg2 Mg 0.3182 0.8182 0.0000
Mg3 Mg 0.6818 0.1818 0.0000
Mg4 Mg 0.8182 0.6818 0.0000
Al1 Al 0.1140 0.6140 0.5000
Al2 Al 0.3860 0.1140 0.5000
Al3 Al 0.6140 0.8860 0.5000
Al4 Al 0.8860 0.3860 0.5000
Tl1 Tl 0.0000 0.0000 0.5000
Tl2 Tl 0.5000 0.5000 0.5000
```



No. 8
Mg4AlTl after structural relaxation. Source: Alexandria via LeMat-Bulk, functional PBEsol.

Calculated values
* Fermi-level density of states: 2.4 states/eV per cell
* energy of formation from the pure elements: 150 meV/atom
* total magnetic moment: 0.00 μB per atom

Geometry as CIF:
```
data_Mg4AlTl
_symmetry_space_group_name_H-M 'P 1'
_symmetry_Int_Tables_number 1
_cell_length_a 5.7787
_cell_length_b 5.7787
_cell_length_c 5.7787
_cell_angle_alpha 60.00
_cell_angle_beta 60.00
_cell_angle_gamma 60.00
loop_
_symmetry_equiv_pos_as_xyz
'x,y,z'
loop_
_atom_site_label
_atom_site_type_symbol
_atom_site_fract_x
_atom_site_fract_y
_atom_site_fract_z
Mg1 Mg 0.1254 0.1254 0.1254
Mg2 Mg 0.1254 0.1254 0.6239
Mg3 Mg 0.1254 0.6239 0.1254
Mg4 Mg 0.6239 0.1254 0.1254
Al1 Al 0.5000 0.5000 0.5000
Tl1 Tl 0.7500 0.7500 0.7500
```



No. 9
Mg16Al12Tl after structural relaxation. Source: Alexandria via LeMat-Bulk, functional PBEsol.

Calculated values
* Fermi-level density of states: 8.8 states/eV per cell
* energy of formation from the pure elements: 3 meV/atom
* total magnetic moment: 0.00 μB per atom

Geometry as CIF:
```
data_Mg16Al12Tl
_symmetry_space_group_name_H-M 'P 1'
_symmetry_Int_Tables_number 1
_cell_length_a 9.1021
_cell_length_b 9.1021
_cell_length_c 9.1021
_cell_angle_alpha 109.47
_cell_angle_beta 109.47
_cell_angle_gamma 109.47
loop_
_symmetry_equiv_pos_as_xyz
'x,y,z'
loop_
_atom_site_label
_atom_site_type_symbol
_atom_site_fract_x
_atom_site_fract_y
_atom_site_fract_z
Mg1 Mg 0.0000 0.0000 0.3441
Mg2 Mg 0.0000 0.3146 0.5989
Mg3 Mg 0.0000 0.3441 0.0000
Mg4 Mg 0.0000 0.5989 0.3146
Mg5 Mg 0.2843 0.6854 0.6854
Mg6 Mg 0.3146 0.0000 0.5989
Mg7 Mg 0.3146 0.5989 0.0000
Mg8 Mg 0.3441 0.0000 0.0000
Mg9 Mg 0.4011 0.4011 0.7157
Mg10 Mg 0.4011 0.7157 0.4011
Mg11 Mg 0.5989 0.0000 0.3146
Mg12 Mg 0.5989 0.3146 0.0000
Mg13 Mg 0.6559 0.6559 0.6559
Mg14 Mg 0.6854 0.2843 0.6854
Mg15 Mg 0.6854 0.6854 0.2843
Mg16 Mg 0.7157 0.4011 0.4011
Al1 Al 0.0000 0.6283 0.8128
Al2 Al 0.0000 0.8128 0.6283
Al3 Al 0.1845 0.3717 0.3717
Al4 Al 0.1872 0.1872 0.8155
Al5 Al 0.1872 0.8155 0.1872
Al6 Al 0.3717 0.1845 0.3717
Al7 Al 0.3717 0.3717 0.1845
Al8 Al 0.6283 0.0000 0.8128
Al9 Al 0.6283 0.8128 0.0000
Al10 Al 0.8128 0.0000 0.6283
Al11 Al 0.8128 0.6283 0.0000
Al12 Al 0.8155 0.1872 0.1872
Tl1 Tl 0.0000 0.0000 0.0000
```



No. 10
TmMg16Al12 after structural relaxation. Source: Alexandria via LeMat-Bulk, functional PBEsol.

Calculated values
* energy above the most stable polymorph in this dataset: 0 meV/atom
* Fermi-level density of states: 11.2 states/eV per cell
* energy of formation from the pure elements: -65 meV/atom
* total magnetic moment: 0.00 μB per atom

Geometry as CIF:
```
data_TmMg16Al12
_symmetry_space_group_name_H-M 'P 1'
_symmetry_Int_Tables_number 1
_cell_length_a 9.0579
_cell_length_b 9.0579
_cell_length_c 9.0579
_cell_angle_alpha 109.47
_cell_angle_beta 109.47
_cell_angle_gamma 109.47
loop_
_symmetry_equiv_pos_as_xyz
'x,y,z'
loop_
_atom_site_label
_atom_site_type_symbol
_atom_site_fract_x
_atom_site_fract_y
_atom_site_fract_z
Tm1 Tm 0.0000 0.0000 0.0000
Mg1 Mg 0.0000 0.0000 0.3559
Mg2 Mg 0.0000 0.3191 0.6031
Mg3 Mg 0.0000 0.3559 0.0000
Mg4 Mg 0.0000 0.6031 0.3191
Mg5 Mg 0.2840 0.6809 0.6809
Mg6 Mg 0.3191 0.0000 0.6031
Mg7 Mg 0.3191 0.6031 0.0000
Mg8 Mg 0.3559 0.0000 0.0000
Mg9 Mg 0.3969 0.3969 0.7160
Mg10 Mg 0.3969 0.7160 0.3969
Mg11 Mg 0.6031 0.0000 0.3191
Mg12 Mg 0.6031 0.3191 0.0000
Mg13 Mg 0.6441 0.6441 0.6441
Mg14 Mg 0.6809 0.2840 0.6809
Mg15 Mg 0.6809 0.6809 0.2840
Mg16 Mg 0.7160 0.3969 0.3969
Al1 Al 0.0000 0.6332 0.8137
Al2 Al 0.0000 0.8137 0.6332
Al3 Al 0.1805 0.3668 0.3668
Al4 Al 0.1863 0.1863 0.8195
Al5 Al 0.1863 0.8195 0.1863
Al6 Al 0.3668 0.1805 0.3668
Al7 Al 0.3668 0.3668 0.1805
Al8 Al 0.6332 0.0000 0.8137
Al9 Al 0.6332 0.8137 0.0000
Al10 Al 0.8137 0.0000 0.6332
Al11 Al 0.8137 0.6332 0.0000
Al12 Al 0.8195 0.1863 0.1863
```